No. 1
Entry from Alexandria: an optimized crystal structure of Nd4SnBiN (GGA-PBE).

Cell lengths 9.0343, 9.0343, 6.9469 Å; angles 90.00, 90.00, 134.76 degrees
Closest atoms and distances in Å follow each position.
Sites, in units of the cell vectors:
Nd1 0.0000 0.5000 0.0000  2 N 2.46
Nd2 0.0000 0.5000 0.5000  2 N 2.46
Nd3 0.0883 0.9117 0.7500  1 N 2.69
Nd4 0.4078 0.5922 0.7500  1 N 2.64
Nd5 0.5000 0.0000 0.0000  2 N 2.46
Nd6 0.5000 0.0000 0.5000  2 N 2.46
Nd7 0.5922 0.4078 0.2500  1 N 2.64
Nd8 0.9117 0.0883 0.2500  1 N 2.69
Sn1 0.1081 0.8919 0.2500  9 Nd 3.28-3.49
Sn2 0.8919 0.1081 0.7500  9 Nd 3.28-3.49
Bi1 0.3941 0.6059 0.2500  9 Nd 3.30-3.49
Bi2 0.6059 0.3941 0.7500  9 Nd 3.30-3.49
N1 0.2497 0.7503 0.7500  6 Nd 2.46-2.69
N2 0.7503 0.2497 0.2500  6 Nd 2.46-2.69

electronic total energy	-5.930	eV per atom
energy relative to the elements, uncorrected	-889.6	meV per atom
space group	No. 63
V	28.76	Å³ per atom

No. 2
Entry from Alexandria: an optimized crystal structure of Sr2Nd4Bi3N2 (GGA-PBE).

Cell lengths 13.8297, 13.8297, 13.8297 Å; angles 159.35, 159.35, 29.37 degrees
Closest atoms and distances in Å follow each position.
Sites, in units of the cell vectors:
Sr1 0.1934 0.1934 0.0000  1 N 2.58
Sr2 0.8066 0.8066 0.0000  1 N 2.58
Nd1 0.0843 0.5843 0.5000  2 N 2.50
Nd2 0.4157 0.9157 0.5000  2 N 2.50
Nd3 0.5843 0.0843 0.5000  2 N 2.50
Nd4 0.9157 0.4157 0.5000  2 N 2.50
Bi1 0.3254 0.3254 0.0000  4 Nd 3.46, 5 Sr 3.53-3.54
Bi2 0.5000 0.5000 0.0000  8 Nd 3.35
Bi3 0.6746 0.6746 0.0000  4 Nd 3.46, 5 Sr 3.53-3.54
N1 0.0972 0.0972 0.0000  4 Nd 2.50, 1 Sr 2.58
N2 0.9028 0.9028 0.0000  4 Nd 2.50, 1 Sr 2.58

electronic total energy	-5.611	eV per atom
energy relative to the elements, uncorrected	-999.2	meV per atom
space group	No. 139
V	29.90	Å³ per atom

No. 3
Entry from Alexandria: an optimized crystal structure of TbNdBiN (GGA-PBE).

Cell lengths 4.6340, 4.6340, 9.3308 Å; angles 90.00, 90.00, 90.00 degrees
Closest atoms and distances in Å follow each position.
Sites, in units of the cell vectors:
Tb1 0.2500 0.7500 0.0000  4 N 2.41
Tb2 0.7500 0.2500 0.0000  4 N 2.41
Nd1 0.2500 0.2500 0.3200  1 N 2.32
Nd2 0.7500 0.7500 0.6800  1 N 2.32
Bi1 0.2500 0.2500 0.6939  5 Nd 3.28-3.49, 1 N 3.52
Bi2 0.7500 0.7500 0.3061  5 Nd 3.28-3.49, 1 N 3.52
N1 0.2500 0.2500 0.0714  1 Nd 2.32, 4 Tb 2.41
N2 0.7500 0.7500 0.9286  1 Nd 2.32, 4 Tb 2.41

electronic total energy	-6.648	eV per atom
energy relative to the elements, uncorrected	-1246.8	meV per atom
space group	No. 129
V	25.05	Å³ per atom

No. 4
Entry from Alexandria: an optimized crystal structure of NdThBiN2 (GGA-PBE).

Cell lengths 7.9174, 7.9174, 5.7505 Å; angles 90.00, 90.00, 137.34 degrees
Closest atoms and distances in Å follow each position.
Sites, in units of the cell vectors:
Nd1 0.0782 0.9218 0.7500  4 N 2.37
Nd2 0.9218 0.0782 0.2500  4 N 2.37
Th1 0.4244 0.5756 0.7500  4 N 2.29
Th2 0.5756 0.4244 0.2500  4 N 2.29
Bi1 0.2486 0.7514 0.2500  4 Nd 3.82-3.85, 4 Th 3.85-3.87, 4 Bi 4.07, 8 N 4.21
Bi2 0.7514 0.2486 0.7500  4 Nd 3.82-3.85, 4 Th 3.85-3.87, 4 Bi 4.07, 8 N 4.21
N1 0.2588 0.2588 0.0000  2 Th 2.29, 2 Nd 2.37
N2 0.2588 0.2588 0.5000  2 Th 2.29, 2 Nd 2.37
N3 0.7412 0.7412 0.0000  2 Th 2.29, 2 Nd 2.37
N4 0.7412 0.7412 0.5000  2 Th 2.29, 2 Nd 2.37

electronic total energy	-7.691	eV per atom
energy relative to the elements, uncorrected	-1146.8	meV per atom
space group	No. 63
V	24.43	Å³ per atom

No. 5
Entry from Alexandria: an optimized crystal structure of Nd2ThBi2N2 (GGA-PBE).

Cell lengths 8.8215, 8.8215, 8.8215 Å; angles 149.47, 149.47, 43.72 degrees
Closest atoms and distances in Å follow each position.
Sites, in units of the cell vectors:
Nd1 0.0997 0.0997 0.0000  4 N 2.84, 1 Bi 3.17
Nd2 0.9003 0.9003 0.0000  4 N 2.84, 1 Bi 3.17
Th1 0.5000 0.5000 0.0000  4 N 2.32
Bi1 0.2931 0.2931 0.0000  1 Nd 3.17, 1 Th 3.39
Bi2 0.7069 0.7069 0.0000  1 Nd 3.17, 1 Th 3.39
N1 0.0000 0.5000 0.5000  2 Th 2.32
N2 0.5000 0.0000 0.5000  2 Th 2.32

electronic total energy	-6.790	eV per atom
energy relative to the elements, uncorrected	-880.7	meV per atom
space group	No. 139
V	25.23	Å³ per atom

No. 6
Entry from Alexandria: an optimized crystal structure of NdUBiN2 (GGA-PBE).

Cell lengths 7.1380, 7.1380, 7.1380 Å; angles 147.76, 147.76, 46.24 degrees
Closest atoms and distances in Å follow each position.
Sites, in units of the cell vectors:
Nd1 0.0000 0.0000 0.0000  4 N 2.40
U1 0.3287 0.3287 0.0000  4 N 2.17
Bi1 0.6703 0.6703 0.0000  4 U 3.49, 4 N 3.57, 4 Nd 3.59
N1 0.3963 0.8963 0.5000  2 U 2.17, 2 Nd 2.40
N2 0.8963 0.3963 0.5000  2 U 2.17, 2 Nd 2.40

electronic total energy	-8.534	eV per atom
energy relative to the elements, uncorrected	-1216.5	meV per atom
space group	No. 107
V	20.63	Å³ per atom

No. 7
Entry from Alexandria: an optimized crystal structure of NdYBiN (GGA-PBE).

Cell lengths 4.6232, 4.6232, 9.3360 Å; angles 90.00, 90.00, 90.00 degrees
Closest atoms and distances in Å follow each position.
Sites, in units of the cell vectors:
Nd1 0.2500 0.2500 0.1807  1 N 2.33
Nd2 0.7500 0.7500 0.8193  1 N 2.33
Y1 0.2500 0.7500 0.5000  4 N 2.40
Y2 0.7500 0.2500 0.5000  4 N 2.40
Bi1 0.2500 0.2500 0.8072  5 Nd 3.27-3.49, 1 N 3.52
Bi2 0.7500 0.7500 0.1928  5 Nd 3.27-3.49, 1 N 3.52
N1 0.2500 0.2500 0.4301  1 Nd 2.33, 4 Y 2.40
N2 0.7500 0.7500 0.5699  1 Nd 2.33, 4 Y 2.40

electronic total energy	-7.111	eV per atom
energy relative to the elements, uncorrected	-1251.5	meV per atom
space group	No. 129
V	24.94	Å³ per atom

No. 8
Entry from Alexandria: an optimized crystal structure of NiBi2N2 (GGA-PBE).

Cell lengths 3.9583, 3.9734, 10.3816 Å; angles 85.72, 85.23, 62.60 degrees
Closest atoms and distances in Å follow each position.
Sites, in units of the cell vectors:
Ni1 0.0000 0.0000 0.0000  6 Bi 2.64-2.67
Bi1 0.3655 0.3616 0.8766  3 Ni 2.64-2.67
Bi2 0.6345 0.6384 0.1234  3 Ni 2.64-2.67
N1 0.0512 0.0384 0.5423  1 N 1.11
N2 0.9488 0.9616 0.4577  1 N 1.11

electronic total energy	-5.968	eV per atom
energy relative to the elements, uncorrected	70.7	meV per atom
space group	No. 2
V	28.87	Å³ per atom

No. 9
Entry from Alexandria: an optimized crystal structure of NiBiN2 (GGA-PBE).

Cell lengths 5.9270, 5.9270, 5.9270 Å; angles 130.88, 130.88, 72.01 degrees
Closest atoms and distances in Å follow each position.
Sites, in units of the cell vectors:
Ni1 0.0000 0.0000 0.0000  4 N 1.91
Ni2 0.7500 0.2500 0.5000  4 N 1.91
Bi1 0.2500 0.7500 0.5000  4 N 2.36
Bi2 0.5000 0.5000 0.0000  4 N 2.36
N1 0.0457 0.6250 0.9207  2 Ni 1.91
N2 0.3750 0.2957 0.4207  2 Ni 1.91
N3 0.7043 0.1250 0.0793  2 Ni 1.91
N4 0.8750 0.9543 0.5793  2 Ni 1.91

electronic total energy	-5.860	eV per atom
energy relative to the elements, uncorrected	718.7	meV per atom
space group	No. 122
V	14.55	Å³ per atom

No. 10
Entry from Alexandria: an optimized crystal structure of NiBiN2 (GGA-PBE).

Cell lengths 6.2637, 6.2637, 6.2637 Å; angles 32.73, 32.73, 32.73 degrees
Closest atoms and distances in Å follow each position.
Sites, in units of the cell vectors:
Ni1 0.0000 0.0000 0.0000  2 N 1.76
Bi1 0.5000 0.5000 0.5000  6 N 2.37
N1 0.0991 0.0991 0.0991  1 Ni 1.76
N2 0.9009 0.9009 0.9009  1 Ni 1.76

electronic total energy	-5.734	eV per atom
energy relative to the elements, uncorrected	844.3	meV per atom
space group	No. 166
V	15.97	Å³ per atom

No. 11
Entry from Alexandria: an optimized crystal structure of NiBiN2 (GGA-PBE).

Cell lengths 6.6259, 6.6259, 6.6259 Å; angles 27.36, 27.36, 27.36 degrees
Closest atoms and distances in Å follow each position.
Sites, in units of the cell vectors:
Ni1 0.0000 0.0000 0.0000  6 N 1.99
Bi1 0.5000 0.5000 0.5000  2 N 2.36
N1 0.3768 0.3768 0.3768  3 Ni 1.99
N2 0.6232 0.6232 0.6232  3 Ni 1.99

electronic total energy	-5.742	eV per atom
energy relative to the elements, uncorrected	836.5	meV per atom
space group	No. 166
V	13.55	Å³ per atom

No. 12
Entry from Alexandria: an optimized crystal structure of NiBi2N (GGA-PBE).

Cell lengths 6.7945, 6.7945, 6.7945 Å; angles 130.02, 130.02, 73.37 degrees
Closest atoms and distances in Å follow each position.
Sites, in units of the cell vectors:
Ni1 0.0000 0.0000 0.0000  4 Bi 2.54
Ni2 0.7500 0.2500 0.5000  4 Bi 2.54
Bi1 0.1515 0.6250 0.0265  2 N 2.36, 2 Ni 2.54
Bi2 0.3750 0.4015 0.5265  2 N 2.36, 2 Ni 2.54
Bi3 0.5985 0.1250 0.9735  2 N 2.36, 2 Ni 2.54
Bi4 0.8750 0.8485 0.4735  2 N 2.36, 2 Ni 2.54
N1 0.2500 0.7500 0.5000  4 Bi 2.36
N2 0.5000 0.5000 0.0000  4 Bi 2.36

electronic total energy	-4.916	eV per atom
energy relative to the elements, uncorrected	550.9	meV per atom
space group	No. 122
V	22.44	Å³ per atom